PrThGaIr: relaxed, PBE-GGA. Values from VASP.

Values from the calculation:
* energy of formation from the pure elements: -749 meV/atom
* space group: No. 38
* magnetic moment: 0.000 μB/f.u.

Quantum ESPRESSO input file:
```
&SYSTEM
  ibrav = 0, nat = 4, ntyp = 4
/
ATOMIC_SPECIES
Pr 140.91 Pr.upf
Th 232.04 Th.upf
Ga 69.72 Ga.upf
Ir 192.22 Ir.upf
CELL_PARAMETERS angstrom
4.213 0.000 0.000
0.000 3.983 0.000
-2.106 0.000 6.000
ATOMIC_POSITIONS crystal
Pr 0.149 0.000 0.299
Th 0.873 0.500 0.747
Ga 0.568 0.500 0.135
Ir 0.409 0.000 0.819
```